No. 1
The following is a DFT calculation (PBE-GGA) of an optimized crystal structure of RbZnGe2Pt.

Unit cell a=5.0265 b=5.0265 c=5.0198 alpha=90.00 beta=90.00 gamma=90.00
Closest atoms and distances in Å follow each position.
Fractional positions:
1 Rb 0.0000 0.0000 0.0000  8 Ge 3.55, 4 Zn 3.55
2 Zn 0.5000 0.5000 0.0000  2 Pt 2.51
3 Ge 0.0000 0.5000 0.5000  2 Pt 2.51
4 Ge 0.5000 0.0000 0.5000  2 Pt 2.51
5 Pt 0.5000 0.5000 0.5000  2 Zn 2.51, 4 Ge 2.51

Values from the calculation:
* distance to the lowest polymorph of the same formula: 0.000 eV/atom
* DOS at the Fermi energy: 3.53 states/eV/cell
* E_form: 0.059 eV per atom

---

No. 2
The following is a DFT calculation (PBE-GGA) of an optimized crystal structure of Nd5SiSn2.

Unit cell a=8.3399 b=12.6385 c=4.6783 alpha=90.00 beta=90.00 gamma=90.00
Closest atoms and distances in Å follow each position.
Fractional positions:
1 Nd 0.0000 0.0000 0.0000  4 Sn 3.26, 4 Nd 3.56
2 Nd 0.1470 0.2900 0.0000  1 Si 2.92
3 Nd 0.1944 0.5671 0.5000  2 Si 2.97
4 Nd 0.3056 0.0671 0.5000  2 Si 2.97
5 Nd 0.3530 0.7900 0.0000  1 Si 2.92
6 Nd 0.5000 0.5000 0.0000  4 Sn 3.26, 4 Nd 3.56
7 Nd 0.6470 0.2100 0.0000  1 Si 2.92
8 Nd 0.6944 0.9329 0.5000  2 Si 2.97
9 Nd 0.8056 0.4329 0.5000  2 Si 2.97
10 Nd 0.8530 0.7100 0.0000  1 Si 2.92
11 Si 0.0000 0.5000 0.0000  6 Nd 2.92-2.97
12 Si 0.5000 0.0000 0.0000  6 Nd 2.92-2.97
13 Sn 0.0775 0.8276 0.5000  9 Nd 3.26-3.57
14 Sn 0.4225 0.3276 0.5000  9 Nd 3.26-3.57
15 Sn 0.5775 0.6724 0.5000  9 Nd 3.26-3.57
16 Sn 0.9225 0.1724 0.5000  9 Nd 3.26-3.57

Values from the calculation:
* energy relative to the elements, uncorrected: -0.65 eV/atom
* DOS at the Fermi energy: 17.65 states/eV/cell

---

We obtain magnetic moment values of 0.000, 0.000 μB per atom for the records listed above, in that order.